# SrSm5Cd4 (PBE, relaxed)
# Crystal system: tetragonal
# Density of states at the Fermi level: 12.65 states/eV per cell
# DFT formation energy: -208 meV/atom
data_SrSm5Cd4
_cell_length_a 3.861
_cell_length_b 3.861
_cell_length_c 20.640
_cell_angle_alpha 90.00
_cell_angle_beta 90.00
_cell_angle_gamma 90.00
_symmetry_space_group_name_H-M 'P 4/m m m'
_symmetry_Int_Tables_number 123
_symmetry_space_group_name_Hall '-P 4 2'
loop_
_atom_site_label
_atom_site_type_symbol
_atom_site_fract_x
_atom_site_fract_y
_atom_site_fract_z
Sr1 Sr 0.000 0.000 0.000
Sm1 Sm 0.500 0.500 0.142
Sm2 Sm 0.500 0.500 0.320
Sm3 Sm 0.500 0.500 0.500
Cd1 Cd 0.000 0.000 0.229
Cd2 Cd 0.000 0.000 0.409

# PmDy2Er3Se6 (PBE, relaxed)
# Crystal system: monoclinic
# Density of states at the Fermi level: 10.81 states/eV per cell
# Uncorrected formation energy: -1.738 eV per atom
data_PmDy2Er3Se6
_cell_length_a 7.016
_cell_length_b 12.224
_cell_length_c 7.097
_cell_angle_alpha 90.00
_cell_angle_beta 109.33
_cell_angle_gamma 90.00
_symmetry_space_group_name_H-M 'C 1 2/m 1'
_symmetry_Int_Tables_number 12
_symmetry_space_group_name_Hall '-C 2y'
loop_
_atom_site_label
_atom_site_type_symbol
_atom_site_fract_x
_atom_site_fract_y
_atom_site_fract_z
Pm1 Pm 0.000 0.000 0.000
Dy1 Dy 0.000 0.335 0.000
Er1 Er 0.000 0.161 0.500
Er2 Er 0.000 0.500 0.500
Se1 Se 0.244 0.329 0.741
Se2 Se 0.245 0.500 0.255

# Sc2GaRe (PBE, relaxed)
# Crystal system: tetragonal
# Density of states at the Fermi level: 23.25 states/eV per cell
# DFT formation energy: 498 meV/atom
data_Sc2GaRe
_cell_length_a 3.992
_cell_length_b 3.992
_cell_length_c 19.350
_cell_angle_alpha 90.00
_cell_angle_beta 90.00
_cell_angle_gamma 90.00
_symmetry_space_group_name_H-M 'I -4 2 d'
_symmetry_Int_Tables_number 122
_symmetry_space_group_name_Hall 'I -4 2bw'
loop_
_atom_site_label
_atom_site_type_symbol
_atom_site_fract_x
_atom_site_fract_y
_atom_site_fract_z
Sc1 Sc 0.241 0.250 0.125
Ga1 Ga 0.000 0.000 0.500
Re1 Re 0.000 0.000 0.000

# Ca2TaTl2O6 (PBE, relaxed)
# Crystal system: monoclinic
# Density of states at the Fermi level: 7.26 states/eV per cell
# Uncorrected formation energy: -2.161 eV per atom
data_Ca2TaTl2O6
_cell_length_a 5.960
_cell_length_b 10.122
_cell_length_c 6.370
_cell_angle_alpha 90.00
_cell_angle_beta 105.32
_cell_angle_gamma 90.00
_symmetry_space_group_name_H-M 'C 1 2/m 1'
_symmetry_Int_Tables_number 12
_symmetry_space_group_name_Hall '-C 2y'
loop_
_atom_site_label
_atom_site_type_symbol
_atom_site_fract_x
_atom_site_fract_y
_atom_site_fract_z
Ca1 Ca 0.000 0.165 0.000
Ta1 Ta 0.000 0.500 0.000
Tl1 Tl 0.000 0.334 0.500
O1 O 0.195 0.354 0.174
O2 O 0.225 0.500 0.810

# MgHg3Br (PBE, relaxed)
# Crystal system: cubic
# Density of states at the Fermi level: 1.33 states/eV per cell
# Uncorrected formation energy: -0.120 eV per atom
# Energy above the most stable polymorph in this dataset: 0 meV/atom
data_MgHg3Br
_cell_length_a 5.525
_cell_length_b 5.525
_cell_length_c 5.525
_cell_angle_alpha 90.00
_cell_angle_beta 90.00
_cell_angle_gamma 90.00
_symmetry_space_group_name_H-M 'P m -3 m'
_symmetry_Int_Tables_number 221
_symmetry_space_group_name_Hall '-P 4 2 3'
loop_
_atom_site_label
_atom_site_type_symbol
_atom_site_fract_x
_atom_site_fract_y
_atom_site_fract_z
Mg1 Mg 0.000 0.000 0.000
Hg1 Hg 0.000 0.000 0.500
Br1 Br 0.500 0.500 0.500

# BaGe3Pd5 (PBE, relaxed)
# Crystal system: orthorhombic
# Density of states at the Fermi level: 15.16 states/eV per cell
# DFT formation energy: -629 meV/atom
data_BaGe3Pd5
_cell_length_a 4.017
_cell_length_b 13.182
_cell_length_c 13.117
_cell_angle_alpha 90.00
_cell_angle_beta 90.00
_cell_angle_gamma 90.00
_symmetry_space_group_name_H-M 'C m c m'
_symmetry_Int_Tables_number 63
_symmetry_space_group_name_Hall '-C 2c 2'
loop_
_atom_site_label
_atom_site_type_symbol
_atom_site_fract_x
_atom_site_fract_y
_atom_site_fract_z
Ba1 Ba 0.000 0.158 0.250
Ge1 Ge 0.000 0.112 0.750
Ge2 Ge 0.000 0.382 0.537
Pd1 Pd 0.000 0.000 0.000
Pd2 Pd 0.000 0.200 0.568
Pd3 Pd 0.000 0.447 0.144

# ZrCuTe2 (PBE, relaxed)
# Crystal system: tetragonal
# Density of states at the Fermi level: 2.49 states/eV per cell
# Uncorrected formation energy: -0.317 eV per atom
data_ZrCuTe2
_cell_length_a 3.656
_cell_length_b 3.656
_cell_length_c 6.555
_cell_angle_alpha 90.00
_cell_angle_beta 90.00
_cell_angle_gamma 90.00
_symmetry_space_group_name_H-M 'P 4/m m m'
_symmetry_Int_Tables_number 123
_symmetry_space_group_name_Hall '-P 4 2'
loop_
_atom_site_label
_atom_site_type_symbol
_atom_site_fract_x
_atom_site_fract_y
_atom_site_fract_z
Zr1 Zr 0.000 0.000 0.000
Cu1 Cu 0.000 0.000 0.500
Te1 Te 0.500 0.500 0.247

# TcGeHRu2 (PBE, relaxed)
# Crystal system: tetragonal
# Density of states at the Fermi level: 5.95 states/eV per cell
data_TcGeHRu2
_cell_length_a 3.921
_cell_length_b 3.921
_cell_length_c 3.935
_cell_angle_alpha 90.00
_cell_angle_beta 90.00
_cell_angle_gamma 90.00
_symmetry_space_group_name_H-M 'P 4/m m m'
_symmetry_Int_Tables_number 123
_symmetry_space_group_name_Hall '-P 4 2'
loop_
_atom_site_label
_atom_site_type_symbol
_atom_site_fract_x
_atom_site_fract_y
_atom_site_fract_z
Tc1 Tc 0.000 0.000 0.000
Ge1 Ge 0.500 0.500 0.000
H1 H 0.000 0.000 0.500
Ru1 Ru 0.000 0.500 0.500

# K3LiOs2O9 (PBE, relaxed)
# Crystal system: trigonal
# Density of states at the Fermi level: 6.53 states/eV per cell
# Uncorrected formation energy: -1.382 eV per atom
data_K3LiOs2O9
_cell_length_a 5.6387
_cell_length_b 5.6387
_cell_length_c 7.0272
_cell_angle_alpha 90.00
_cell_angle_beta 90.00
_cell_angle_gamma 120.00
_symmetry_space_group_name_H-M 'P -3 m 1'
_symmetry_Int_Tables_number 164
_symmetry_space_group_name_Hall '-P 3 2"'
loop_
_atom_site_label
_atom_site_type_symbol
_atom_site_fract_x
_atom_site_fract_y
_atom_site_fract_z
K1 K 0.0000 0.0000 0.0000
K2 K 0.3333 0.6667 0.6583
Li1 Li 0.0000 0.0000 0.5000
Os1 Os 0.3333 0.6667 0.1697
O1 O 0.0000 0.5000 0.0000
O2 O 0.1764 0.3528 0.3105

# TbPmEr5 (PBE, relaxed)
# Crystal system: monoclinic
# Density of states at the Fermi level: 34.38 states/eV per cell
# DFT formation energy: 198 meV/atom
# Energy above the most stable polymorph in this dataset: 0 meV/atom
data_TbPmEr5
_cell_length_a 11.592
_cell_length_b 6.752
_cell_length_c 12.073
_cell_angle_alpha 90.00
_cell_angle_beta 109.61
_cell_angle_gamma 90.00
_symmetry_space_group_name_H-M 'C 1 2/c 1'
_symmetry_Int_Tables_number 15
_symmetry_space_group_name_Hall '-C 2yc'
loop_
_atom_site_label
_atom_site_type_symbol
_atom_site_fract_x
_atom_site_fract_y
_atom_site_fract_z
Tb1 Tb 0.250 0.250 0.000
Pm1 Pm 0.000 0.026 0.250
Er1 Er 0.000 0.412 0.750
Er2 Er 0.078 0.274 0.499
Er3 Er 0.220 0.361 0.250

# BaLiCrCl6 (PBE, relaxed)
# Crystal system: trigonal
# Uncorrected formation energy: -1.713 eV per atom
data_BaLiCrCl6
_cell_length_a 6.5210
_cell_length_b 6.5210
_cell_length_c 6.5991
_cell_angle_alpha 90.00
_cell_angle_beta 90.00
_cell_angle_gamma 120.00
_symmetry_space_group_name_H-M 'P 3 1 2'
_symmetry_Int_Tables_number 149
_symmetry_space_group_name_Hall 'P 3 2'
loop_
_atom_site_label
_atom_site_type_symbol
_atom_site_fract_x
_atom_site_fract_y
_atom_site_fract_z
Ba1 Ba 0.0000 0.0000 0.0000
Li1 Li 0.3333 0.6667 0.5000
Cr1 Cr 0.6667 0.3333 0.5000
Cl1 Cl 0.3845 0.0234 0.7075

# Sr3YRu (PBE, relaxed)
# Crystal system: cubic
# Density of states at the Fermi level: 7.41 states/eV per cell
# DFT formation energy: 446 meV/atom
# Energy above the most stable polymorph in this dataset: 0 meV/atom
data_Sr3YRu
_cell_length_a 5.772
_cell_length_b 5.772
_cell_length_c 5.772
_cell_angle_alpha 90.00
_cell_angle_beta 90.00
_cell_angle_gamma 90.00
_symmetry_space_group_name_H-M 'P m -3 m'
_symmetry_Int_Tables_number 221
_symmetry_space_group_name_Hall '-P 4 2 3'
loop_
_atom_site_label
_atom_site_type_symbol
_atom_site_fract_x
_atom_site_fract_y
_atom_site_fract_z
Sr1 Sr 0.000 0.000 0.500
Y1 Y 0.500 0.500 0.500
Ru1 Ru 0.000 0.000 0.000

One value per record, in order, for E_tot: -3.102, -5.784, -6.536, -6.737, -0.955, -5.267, -5.049, -7.206, -6.201, -4.401, -4.440, -3.711 eV per atom.